(1)
A plane-wave DFT calculation with PBE was carried out for a relaxed HoFeCl crystal.

abc: 3.8265 3.8279 11.1726
angles: 80.39 80.27 60.02
Closest atoms and distances in Å follow each position.
Positions (direct):
Ho: 0.0000 0.0000 0.0000  3 Cl 2.81, 6 Fe 2.96
Ho: 0.1202 0.1156 0.6399  3 Cl 2.81, 6 Fe 2.96
Fe: 0.3936 0.3914 0.8199  3 Fe 2.21
Fe: 0.7268 0.7249 0.8199  3 Fe 2.21
Cl: 0.6140 0.6153 0.1580  3 Ho 2.81
Cl: 0.8395 0.8322 0.4819  3 Ho 2.81

Computed properties:
Calculated total energy   -36.38 eV for the cell shown
Size of the total moment   0.92 μB per formula unit
Space group   P1 (1)

---

(2)
A plane-wave DFT calculation with PBE was carried out for a relaxed Er3MnAg3Se8 crystal.

abc: 8.0464 8.0464 8.1512
angles: 119.76 119.76 60.00
Closest atoms and distances in Å follow each position.
Positions (direct):
Er: 0.0000 0.0000 0.0000  6 Se 2.82-2.87
Er: 0.0000 0.5000 0.0000  6 Se 2.82-2.87
Er: 0.5000 0.0000 0.0000  6 Se 2.82-2.87
Mn: 0.5000 0.5000 0.0000  6 Se 2.57
Ag: 0.0000 0.5000 0.5000  6 Se 2.87-2.91
Ag: 0.5000 0.0000 0.5000  6 Se 2.87-2.91
Ag: 0.5000 0.5000 0.5000  6 Se 2.89
Se: 0.2470 0.2470 0.2398  3 Er 2.82, 3 Ag 2.89-2.91
Se: 0.2751 0.2751 0.7765  1 Mn 2.57, 2 Er 2.87
Se: 0.2751 0.7248 0.2235  1 Mn 2.57, 2 Er 2.87, 1 Ag 2.87
Se: 0.2752 0.7249 0.7765  1 Mn 2.57, 2 Er 2.87, 1 Ag 2.87
Se: 0.7248 0.2751 0.2235  1 Mn 2.57, 2 Er 2.87, 1 Ag 2.87
Se: 0.7249 0.2752 0.7765  1 Mn 2.57, 2 Er 2.87, 1 Ag 2.87
Se: 0.7249 0.7249 0.2235  1 Mn 2.57, 2 Er 2.87
Se: 0.7530 0.7530 0.7602  3 Er 2.82, 3 Ag 2.89-2.91

Computed properties:
Calculated total energy   -73.84 eV for the cell shown
Size of the total moment   3.08 μB per formula unit
Space group   C2/m (12)

---

(3)
A plane-wave DFT calculation with PBE was carried out for a relaxed NaMgSn6 crystal.

abc: 4.8431 4.8431 9.0520
angles: 90.00 90.00 90.00
Closest atoms and distances in Å follow each position.
Positions (direct):
Na: 0.0000 0.0000 0.0000  12 Sn 3.36-3.42
Mg: 0.0000 0.0000 0.5000  12 Sn 3.27-3.42
Sn: 0.0000 0.5000 0.2579  8 Sn 3.27-3.42, 2 Mg 3.27, 2 Na 3.36
Sn: 0.0000 0.5000 0.7421  8 Sn 3.27-3.42, 2 Mg 3.27, 2 Na 3.36
Sn: 0.5000 0.0000 0.2579  8 Sn 3.27-3.42, 2 Mg 3.27, 2 Na 3.36
Sn: 0.5000 0.0000 0.7421  8 Sn 3.27-3.42, 2 Mg 3.27, 2 Na 3.36
Sn: 0.5000 0.5000 0.0000  8 Sn 3.36, 4 Na 3.42
Sn: 0.5000 0.5000 0.5000  8 Sn 3.27, 4 Mg 3.42

Computed properties:
Size of the total moment   0.00 μB per formula unit
Space group   P4/mmm (123)
Energy relative to the elements   -0.06 eV per atom